(a)
Here is a relaxed LiSnP2O7 crystal from Alexandria via LeMat-Bulk. Energies are from PBEsol.

a b c (Å): 5.2085 8.2770 13.9812
angles (deg): 75.83 88.70 89.60
Last column: nearest neighbours and their distance in Å.
Fractional coordinates of all 44 atoms:
Sn (0.2392, 0.6068, 0.1157)  3 O 2.24-2.44
Li (0.1470, 0.6342, 0.3371)  4 O 1.85-2.05
O (0.3913, 0.4864, 0.3118)  1 P 1.50
O (0.2673, 0.7954, 0.2244)  1 P 1.50
P (0.2633, 0.7817, 0.5158)  4 O 1.51-1.58
O (0.9987, 0.3072, 0.0513)  1 P 1.52
O (0.1711, 0.8909, 0.5822)  1 P 1.51
P (0.2586, 0.9788, 0.2169)  4 O 1.50-1.58
O (0.5458, 0.8086, 0.4830)  1 P 1.53
O (0.6857, 0.9304, 0.8948)  2 P 1.58-1.64
O (0.3889, 0.2710, 0.9430)  1 P 1.52
O (0.4483, 0.3622, 0.1028)  1 P 1.54
O (0.7684, 0.6878, 0.3164)  1 P 1.57
Sn (0.7598, 0.9096, 0.3596)  6 O 2.03-2.09
Sn (0.7608, 0.3932, 0.8843)  3 O 2.24-2.44
O (0.5328, 0.9645, 0.7204)  1 P 1.56
O (0.0107, 0.9611, 0.7555)  1 P 1.56
P (0.3237, 0.4915, 0.6845)  4 O 1.50-1.66
O (0.3143, 0.0696, 0.1052)  2 P 1.58-1.64
P (0.2829, 0.2653, 0.0460)  4 O 1.52-1.64
P (0.7171, 0.7347, 0.9540)  4 O 1.52-1.64
O (0.2329, 0.5919, 0.5723)  2 P 1.58-1.66
O (0.1587, 0.5567, 0.7561)  1 P 1.50
O (0.7327, 0.2046, 0.7756)  1 P 1.50
O (0.6111, 0.7290, 0.0570)  1 P 1.52
O (0.7671, 0.4081, 0.4277)  2 P 1.58-1.66
P (0.7367, 0.2183, 0.4842)  4 O 1.51-1.58
O (0.4672, 0.0355, 0.2796)  1 P 1.56
O (0.9893, 0.0389, 0.2445)  1 P 1.56
Li (0.7760, 0.2903, 0.1658)  3 O 1.90-1.96
Li (0.2240, 0.7097, 0.8342)  3 O 1.90-1.96
O (0.4542, 0.1914, 0.5170)  1 P 1.53
O (0.2316, 0.3122, 0.6836)  1 P 1.57
O (0.5517, 0.6378, 0.8972)  1 P 1.54
O (0.8289, 0.1091, 0.4178)  1 P 1.51
P (0.6763, 0.5085, 0.3155)  4 O 1.50-1.66
O (0.9066, 0.2038, 0.5747)  1 P 1.54
O (0.0934, 0.7962, 0.4253)  1 P 1.54
O (0.6087, 0.5136, 0.6882)  1 P 1.50
Li (0.8530, 0.3658, 0.6629)  4 O 1.85-2.05
P (0.7413, 0.0212, 0.7831)  4 O 1.50-1.58
O (0.0013, 0.6928, 0.9487)  1 P 1.52
O (0.8413, 0.4433, 0.2439)  1 P 1.50
Sn (0.2402, 0.0904, 0.6404)  6 O 2.03-2.09

The calculation puts the total magnetization at 0.0 μB per formula unit. As for the density of states at the Fermi level: 0.0000 states/eV per atom.

---

(b)
Here is a relaxed LiSnP2O7 crystal from Alexandria via LeMat-Bulk. Energies are from PBEsol.

a b c (Å): 4.9418 7.2329 8.7127
angles (deg): 90.00 90.00 109.04
Last column: nearest neighbours and their distance in Å.
Fractional coordinates of all 22 atoms:
P (0.4100, 0.5467, 0.1210)  4 O 1.53-1.61
P (0.1987, 0.0745, 0.7346)  4 O 1.52-1.62
O (0.2323, 0.5146, 0.2699)  1 P 1.54
O (0.6412, 0.9076, 0.3878)  1 P 1.54
O (0.4018, 0.2245, 0.6116)  2 P 1.61-1.62
P (0.5900, 0.4533, 0.6210)  4 O 1.53-1.61
O (0.0768, 0.8757, 0.2507)  1 P 1.52
P (0.8013, 0.9255, 0.2346)  4 O 1.52-1.62
O (0.6144, 0.4270, 0.1245)  1 P 1.53
O (0.2250, 0.5140, 0.9762)  1 P 1.53
O (0.1503, 0.8715, 0.6652)  1 P 1.53
Li (0.1851, 0.6544, 0.7928)  4 O 1.94-2.04
Sn (0.7853, 0.2669, 0.9423)  6 O 2.13-2.34
O (0.9232, 0.1243, 0.7507)  1 P 1.52
Sn (0.2147, 0.7331, 0.4423)  6 O 2.13-2.34
O (0.8497, 0.1285, 0.1652)  1 P 1.53
Li (0.8149, 0.3456, 0.2928)  4 O 1.94-2.04
O (0.3588, 0.0924, 0.8878)  1 P 1.54
O (0.7677, 0.4854, 0.7699)  1 P 1.54
O (0.3856, 0.5730, 0.6245)  1 P 1.53
O (0.7750, 0.4860, 0.4762)  1 P 1.53
O (0.5982, 0.7755, 0.1116)  2 P 1.61-1.62

The calculation puts the total magnetization at 0.0 μB per formula unit. As for the density of states at the Fermi level: 0.2789 states/eV per atom.

---

Relative energies, unit kJ/mol of atoms: (a) 0.0; (b) 3.7

---

(a)
Here is a relaxed SiTc2Pb crystal from Alexandria via LeMat-Bulk. Energies are from PBEsol.

a b c (Å): 3.0380 4.4120 5.1583
angles (deg): 90.00 106.88 90.00
Last column: nearest neighbours and their distance in Å.
Fractional coordinates of all 4 atoms:
Tc (0.1831, 0.0000, 0.9941)  2 Si 2.42, 1 Pb 2.60
Tc (0.7820, 0.5000, 0.1923)  2 Si 2.49
Pb (0.4508, 0.0000, 0.5207)  3 Tc 2.60-2.79
Si (0.0840, 0.5000, 0.7929)  4 Tc 2.42-2.49

The calculation puts the total magnetization at 0.0 μB per formula unit. As for the density of states at the Fermi level: 0.9791 states/eV per atom.

---

(b)
Here is a relaxed SiTc2Pb crystal from Alexandria via LeMat-Bulk. Energies are from PBEsol.

a b c (Å): 4.5167 4.5167 4.5167
angles (deg): 60.00 60.00 60.00
Last column: nearest neighbours and their distance in Å.
Fractional coordinates of all 4 atoms:
Si (0.2500, 0.2500, 0.2500)  4 Tc 2.77, 4 Pb 2.77
Pb (0.5000, 0.5000, 0.5000)  4 Tc 2.77, 4 Si 2.77
Tc (0.0000, 0.0000, 0.0000)  4 Tc 2.77, 4 Si 2.77
Tc (0.7500, 0.7500, 0.7500)  4 Pb 2.77, 4 Tc 2.77

The calculation puts the total magnetization at 0.0 μB per formula unit. As for the density of states at the Fermi level: 0.8366 states/eV per atom.

---

Relative energies, unit kJ/mol of atoms: (a) 0.0; (b) 25.8

---

(a)
Here is a relaxed NiAgAu2 crystal from Alexandria via LeMat-Bulk. Energies are from PBEsol.

a b c (Å): 3.9738 3.8554 3.9737
angles (deg): 90.00 90.00 90.00
Last column: nearest neighbours and their distance in Å.
Fractional coordinates of all 4 atoms:
Ag (0.0000, 0.5000, 0.5000)  8 Au 2.77, 4 Ni 2.81
Au (0.0000, 0.0000, 0.0000)  4 Ag 2.77, 4 Ni 2.77, 4 Au 2.81
Au (0.5000, 0.0000, 0.5000)  4 Ni 2.77, 4 Ag 2.77, 4 Au 2.81
Ni (0.5000, 0.5000, 0.0000)  8 Au 2.77, 4 Ag 2.81

The calculation puts the total magnetization at 0.0 μB per formula unit. As for the density of states at the Fermi level: 0.6496 states/eV per atom.

---

(b)
Here is a relaxed NiAgAu2 crystal from Alexandria via LeMat-Bulk. Energies are from PBEsol.

a b c (Å): 2.8241 4.6359 5.4023
angles (deg): 115.41 105.15 90.00
Last column: nearest neighbours and their distance in Å.
Fractional coordinates of all 4 atoms:
Ni (0.4976, 0.4976, 0.9952)  6 Au 2.57-2.71, 2 Ag 2.62, 2 Ni 2.82
Au (0.0011, 0.0011, 0.0021)  4 Ni 2.71, 4 Au 2.82-2.86, 2 Ag 2.87
Ag (0.2336, 0.7336, 0.4671)  2 Ni 2.62, 6 Au 2.73-2.87, 2 Ag 2.82
Au (0.7678, 0.2678, 0.5355)  2 Ni 2.57, 4 Ag 2.73, 4 Au 2.82-2.86

The calculation puts the total magnetization at 0.0 μB per formula unit. As for the density of states at the Fermi level: 0.5935 states/eV per atom.

---

Relative energies, unit kJ/mol of atoms: (a) 0.0; (b) 1.5

---

(a)
Here is a relaxed Se2Br crystal from Alexandria via LeMat-Bulk. Energies are from PBEsol.

a b c (Å): 3.6280 6.7866 7.5790
angles (deg): 111.15 90.00 105.50
Last column: nearest neighbours and their distance in Å.
Fractional coordinates of all 6 atoms:
Se (0.0473, 0.0946, 0.6738)  3 Se 2.46-2.52
Se (0.5653, 0.1307, 0.2538)  2 Se 2.52, 2 Br 2.71
Se (0.9527, 0.9054, 0.3262)  3 Se 2.46-2.52
Br (0.8163, 0.6326, 0.8553)  2 Se 2.71
Se (0.4347, 0.8693, 0.7462)  2 Se 2.52, 2 Br 2.71
Br (0.1837, 0.3674, 0.1447)  2 Se 2.71

The calculation puts the total magnetization at 0.0 μB per formula unit.

---

(b)
Here is a relaxed Se2Br crystal from Alexandria via LeMat-Bulk. Energies are from PBEsol.

a b c (Å): 3.8630 3.8630 5.9609
angles (deg): 108.91 108.91 90.00
Last column: nearest neighbours and their distance in Å.
Fractional coordinates of all 3 atoms:
Se (0.2441, 0.2441, 0.4881)  1 Br 2.59, 4 Se 2.73
Br (0.0000, 0.0000, 0.0000)  2 Se 2.59
Se (0.7559, 0.7559, 0.5119)  1 Br 2.59, 4 Se 2.73

The calculation puts the total magnetization at 0.0 μB per formula unit. As for the density of states at the Fermi level: 0.3163 states/eV per atom.

---

Relative energies, unit kJ/mol of atoms: (a) 0.0; (b) 7.4

---

(a)
Here is a relaxed LaYSc2 crystal from Alexandria via LeMat-Bulk. Energies are from PBEsol.

a b c (Å): 3.7390 5.4468 6.4037
angles (deg): 115.17 106.97 90.00
Last column: nearest neighbours and their distance in Å.
Fractional coordinates of all 4 atoms:
La (0.7395, 0.2395, 0.4790)  6 Sc 3.31-3.36, 4 Y 3.55-3.68
Sc (0.9852, 0.9852, 0.9704)  2 Sc 3.09, 4 Y 3.32, 2 La 3.36
Sc (0.2611, 0.7611, 0.5222)  2 Sc 3.09, 2 Y 3.29, 4 La 3.31
Y (0.5142, 0.5142, 0.0283)  6 Sc 3.29-3.32, 4 La 3.55-3.68

The calculation puts the total magnetization at 0.0 μB per formula unit. As for the density of states at the Fermi level: 1.5953 states/eV per atom.

---

(b)
Here is a relaxed LaYSc2 crystal from Alexandria via LeMat-Bulk. Energies are from PBEsol.

a b c (Å): 5.0281 5.6508 5.0281
angles (deg): 116.42 90.00 116.42
Last column: nearest neighbours and their distance in Å.
Fractional coordinates of all 4 atoms:
Sc (0.2500, 0.5000, 0.7500)  4 Y 3.34, 4 La 3.34, 4 Sc 3.56
Y (0.5000, 0.0000, 0.5000)  8 Sc 3.34, 4 La 3.56
Sc (0.7500, 0.5000, 0.2500)  4 La 3.34, 4 Y 3.34, 4 Sc 3.56
La (0.0000, 0.0000, 0.0000)  8 Sc 3.34, 4 Y 3.56

The calculation puts the total magnetization at 0.0 μB per formula unit. As for the density of states at the Fermi level: 1.5166 states/eV per atom.

---

Relative energies, unit kJ/mol of atoms: (a) 2.7; (b) 0.0

---

(a)
Here is a relaxed LiY2Cd crystal from Alexandria via LeMat-Bulk. Energies are from PBEsol.

a b c (Å): 3.5937 5.1769 6.1336
angles (deg): 114.96 107.03 90.00
Last column: nearest neighbours and their distance in Å.
Fractional coordinates of all 4 atoms:
Li (0.2191, 0.7191, 0.4382)  2 Cd 2.70
Cd (0.5272, 0.5272, 0.0544)  2 Li 2.70
Y (0.9867, 0.9867, 0.9733)  4 Cd 3.18, 2 Li 3.34, 4 Y 3.45-3.47
Y (0.7670, 0.2670, 0.5340)  4 Li 3.19, 2 Cd 3.28, 4 Y 3.45-3.47

The calculation puts the total magnetization at 0.0 μB per formula unit. As for the density of states at the Fermi level: 1.1480 states/eV per atom.

---

(b)
Here is a relaxed LiY2Cd crystal from Alexandria via LeMat-Bulk. Energies are from PBEsol.

a b c (Å): 3.4590 3.4590 10.5195
angles (deg): 80.54 80.54 60.00
Last column: nearest neighbours and their distance in Å.
Fractional coordinates of all 4 atoms:
Cd (0.5000, 0.5000, 0.5000)  6 Y 3.18, 6 Cd 3.46
Y (0.2463, 0.2463, 0.2610)  3 Cd 3.18, 3 Li 3.35, 6 Y 3.46
Li (0.0000, 0.0000, 0.0000)  6 Y 3.35, 6 Li 3.46
Y (0.7537, 0.7537, 0.7390)  3 Cd 3.18, 3 Li 3.35, 6 Y 3.46

The calculation puts the total magnetization at 0.0 μB per formula unit. As for the density of states at the Fermi level: 1.0685 states/eV per atom.

---

Relative energies, unit kJ/mol of atoms: (a) 0.0; (b) 11.8

---

(a)
Here is a relaxed Y2Zr crystal from Alexandria via LeMat-Bulk. Energies are from PBEsol.

a b c (Å): 3.4003 9.1214 9.1214
angles (deg): 120.00 90.00 90.00
Last column: nearest neighbours and their distance in Å.
Fractional coordinates of all 9 atoms:
Y (0.0000, 0.0000, 0.2994)  4 Zr 3.21-3.22, 8 Y 3.40-3.51
Y (0.5000, 0.0000, 0.6358)  5 Zr 3.32-3.37, 8 Y 3.40-3.51
Zr (0.5000, 0.0000, 0.0000)  9 Y 3.22-3.32, 2 Zr 3.40
Y (0.5000, 0.6358, 0.0000)  5 Zr 3.32-3.37, 8 Y 3.40-3.51
Zr (0.0000, 0.6667, 0.3333)  9 Y 3.21-3.37, 2 Zr 3.40
Y (0.5000, 0.3642, 0.3642)  5 Zr 3.32-3.37, 8 Y 3.40-3.51
Y (0.0000, 0.7006, 0.7006)  4 Zr 3.21-3.22, 8 Y 3.40-3.51
Y (0.0000, 0.2994, 0.0000)  4 Zr 3.21-3.22, 8 Y 3.40-3.51
Zr (0.0000, 0.3333, 0.6667)  9 Y 3.21-3.37, 2 Zr 3.40

The calculation puts the total magnetization at 0.0 μB per formula unit. As for the density of states at the Fermi level: 1.8279 states/eV per atom.

---

(b)
Here is a relaxed Y2Zr crystal from Alexandria via LeMat-Bulk. Energies are from PBEsol.

a b c (Å): 6.0499 6.0499 6.0499
angles (deg): 105.50 105.50 117.74
Last column: nearest neighbours and their distance in Å.
Fractional coordinates of all 6 atoms:
Y (0.1606, 0.6606, 0.8212)  4 Zr 3.16, 1 Y 3.33
Y (0.3394, 0.1606, 0.5000)  4 Zr 3.16, 1 Y 3.33
Y (0.8394, 0.3394, 0.1788)  4 Zr 3.16, 1 Y 3.33
Zr (0.7500, 0.7500, 0.0000)  2 Zr 3.13, 8 Y 3.16
Y (0.6606, 0.8394, 0.5000)  4 Zr 3.16, 1 Y 3.33
Zr (0.2500, 0.2500, 0.0000)  2 Zr 3.13, 8 Y 3.16

The calculation puts the total magnetization at 0.0 μB per formula unit. As for the density of states at the Fermi level: 1.2651 states/eV per atom.

---

Relative energies, unit kJ/mol of atoms: (a) 0.0; (b) 10.6

---

(a)
Here is a relaxed TlCd5 crystal from Alexandria via LeMat-Bulk. Energies are from PBEsol.

a b c (Å): 4.9467 5.6023 5.6023
angles (deg): 120.00 90.00 90.00
Last column: nearest neighbours and their distance in Å.
Fractional coordinates of all 6 atoms:
Cd (0.0000, 0.6397, 0.0000)  8 Cd 3.06-3.11, 2 Tl 3.19
Cd (0.5000, 0.3333, 0.6667)  9 Cd 3.06-3.23, 3 Tl 3.23
Tl (0.5000, 0.0000, 0.0000)  12 Cd 3.19-3.23
Cd (0.0000, 0.0000, 0.6397)  8 Cd 3.06-3.11, 2 Tl 3.19
Cd (0.5000, 0.6667, 0.3333)  9 Cd 3.06-3.23, 3 Tl 3.23
Cd (0.0000, 0.3603, 0.3603)  8 Cd 3.06-3.11, 2 Tl 3.19

The calculation puts the total magnetization at 0.0 μB per formula unit. As for the density of states at the Fermi level: 0.2720 states/eV per atom.

---

(b)
Here is a relaxed TlCd5 crystal from Alexandria via LeMat-Bulk. Energies are from PBEsol.

a b c (Å): 4.4656 4.4418 7.0544
angles (deg): 71.65 90.00 90.00
Last column: nearest neighbours and their distance in Å.
Fractional coordinates of all 6 atoms:
Cd (0.0000, 0.1724, 0.6552)  10 Cd 3.04-3.21, 2 Tl 3.20
Cd (0.5000, 0.6715, 0.6570)  10 Cd 3.06-3.19, 2 Tl 3.20
Cd (0.0000, 0.8276, 0.3448)  10 Cd 3.04-3.21, 2 Tl 3.20
Tl (0.0000, 0.5000, 0.0000)  12 Cd 3.15-3.20
Cd (0.5000, 0.3285, 0.3430)  10 Cd 3.06-3.19, 2 Tl 3.20
Cd (0.5000, 0.0000, 0.0000)  4 Tl 3.15, 8 Cd 3.19-3.21

The calculation puts the total magnetization at 0.0 μB per formula unit. As for the density of states at the Fermi level: 0.3585 states/eV per atom.

---

Relative energies, unit kJ/mol of atoms: (a) 0.9; (b) 0.0